(1)
YHf3Tc, optimized geometry, DFT PBE; N(E_F) = 1.528 states/eV/atom; energy above the lowest structure with this stoichiometry = 1.766 eV/atom; formation energy = 2.042 eV/atom; V = 24.47 A^3/atom; energy = -7.2959 eV per atom
1.0
4.964 0.000 0.000
0.000 4.964 0.000
0.000 0.000 4.964
Tc Hf Y
1 3 1
direct
0.500 0.500 0.500
0.000 0.000 0.500
0.000 0.500 0.000
0.500 0.000 0.000
0.000 0.000 0.000

(2)
Li5Mg3Cd4, optimized geometry, DFT PBE; N(E_F) = 0.310 states/eV/atom; formation energy = -0.040 eV/atom; V = 20.27 A^3/atom; energy = -1.5411 eV per atom
1.0
-0.330 3.470 -3.629
-6.709 2.963 -0.046
4.936 6.106 1.902
Mg Li Cd
3 5 4
direct
0.483 0.291 0.744
0.517 0.709 0.256
0.000 0.500 0.500
0.188 0.490 0.134
0.358 0.088 0.195
0.642 0.912 0.805
0.500 0.500 0.500
0.812 0.510 0.866
0.169 0.016 0.646
0.831 0.984 0.354
0.158 0.759 0.924
0.842 0.241 0.076

(3)
LiTb2SeO5, optimized geometry, DFT PBE; N(E_F) = 0.208 states/eV/atom; V = 14.36 A^3/atom; energy = -6.4117 eV per atom; formation energy (no corrections) = -2028.4 meV/atom
1.0
6.560 0.000 0.000
0.000 6.560 0.000
-3.280 -3.280 6.005
O Tb Se Li
10 4 2 2
direct
0.744 0.244 0.764
0.980 0.480 0.236
0.756 0.980 0.236
0.020 0.520 0.764
0.000 0.000 0.000
0.500 0.500 0.000
0.256 0.756 0.236
0.520 0.744 0.764
0.244 0.020 0.764
0.480 0.256 0.236
0.175 0.325 0.000
0.675 0.175 0.000
0.325 0.825 0.000
0.825 0.675 0.000
0.250 0.750 0.500
0.750 0.250 0.500
0.750 0.750 0.500
0.250 0.250 0.500

(4)
Ba2AlAg2, optimized geometry, DFT PBE; N(E_F) = 0.565 states/eV/atom; energy above the lowest structure with this stoichiometry = 0.108 eV/atom; formation energy = -0.121 eV/atom; V = 32.23 A^3/atom; energy = -2.7790 eV per atom
1.0
8.346 0.000 0.000
0.000 8.346 0.000
0.000 0.000 4.627
Ba Al Ag
4 2 4
direct
0.317 0.183 0.500
0.683 0.817 0.500
0.183 0.683 0.500
0.817 0.317 0.500
0.000 0.000 0.000
0.500 0.500 0.000
0.622 0.122 0.000
0.378 0.878 0.000
0.122 0.378 0.000
0.878 0.622 0.000

(5)
ScTlAgSe2, optimized geometry, DFT PBE; N(E_F) = 0.454 states/eV/atom; V = 27.82 A^3/atom; energy = -4.4180 eV per atom; formation energy (no corrections) = -714.4 meV/atom
1.0
5.837 0.000 0.000
0.000 7.077 0.124
0.000 -1.997 6.699
Sc Tl Se Ag
2 2 4 2
direct
0.498 0.000 0.750
0.502 0.000 0.250
0.813 0.500 0.250
0.187 0.500 0.750
0.672 0.751 0.930
0.672 0.249 0.570
0.328 0.249 0.070
0.328 0.751 0.430
0.000 0.000 0.000
0.000 0.000 0.500

(6)
CuPtBr2, optimized geometry, DFT PBE; N(E_F) = 0.539 states/eV/atom; energy above the lowest structure with this stoichiometry = 0.251 eV/atom; V = 24.37 A^3/atom; energy = -3.0760 eV per atom; formation energy (no corrections) = 294.6 meV/atom
1.0
-0.468 1.023 -3.345
-7.335 -0.384 0.909
-0.050 3.566 1.098
Pt Cu Br
1 1 2
direct
0.000 0.500 0.500
0.500 0.000 0.500
0.000 0.000 0.000
0.500 0.500 0.000